Record 1
The following is a SCAN calculation of a crystal of AgBiP2S relaxed with PBEsol, from Alexandria.

Computed properties:
ρ, g/cm3: 6.363
Crystal system: tetragonal
Fermi-level density of states, states/eV/f.u.: 4.537
Formation energy without anion corrections, meV per atom: 917.3
Volume, Å³/f.u.: 107.22

abc: 4.7173 4.7173 4.8183
angles: 90.00 90.00 90.00
Atoms (fractional coordinates):
Ag 0.0000 0.0000 0.0000
Bi 0.5000 0.5000 0.5000
P 0.0000 0.5000 0.0000
P 0.5000 0.0000 0.0000
S 0.0000 0.0000 0.5000

***

Record 2
The following is a SCAN calculation of a crystal of ZrAg2BiP relaxed with PBEsol, from Alexandria.

Computed properties:
ρ, g/cm3: 7.068
Crystal system: tetragonal
Fermi-level density of states, states/eV/f.u.: 2.764
Volume, Å³/f.u.: 128.49
Energy relative to the elements, meV/atom: 754

abc: 4.8349 5.1551 5.1551
angles: 90.00 90.00 90.00
Atoms (fractional coordinates):
P 0.5000 0.0000 0.0000
Ag 0.0000 0.5000 0.0000
Ag 0.0000 0.0000 0.5000
Zr 0.0000 0.0000 0.0000
Bi 0.5000 0.5000 0.5000

***

Record 3
The following is a SCAN calculation of a crystal of AgBi3PbS6 relaxed with PBEsol, from Alexandria.

Computed properties:
ρ, g/cm3: 7.104
Crystal system: orthorhombic
Formation energy without anion corrections, meV per atom: -309.0
Volume, Å³/f.u.: 265.17

abc: 4.0286 7.0445 19.5015
angles: 90.00 90.00 106.62
Atoms (fractional coordinates):
Bi 0.6283 0.2567 0.4576
Bi 0.3717 0.7433 0.9576
Bi 0.0997 0.1994 0.8597
Bi 0.9003 0.8006 0.3597
Bi 0.6489 0.2978 0.0533
Bi 0.3511 0.7022 0.5533
Pb 0.8204 0.6409 0.7456
Pb 0.1796 0.3591 0.2456
Ag 0.9463 0.8926 0.1413
Ag 0.0537 0.1074 0.6413
S 0.8278 0.6557 0.2378
S 0.7306 0.4611 0.5917
S 0.9907 0.9813 0.0090
S 0.4649 0.9298 0.8340
S 0.7437 0.4875 0.9021
S 0.2694 0.5389 0.0917
S 0.5351 0.0702 0.3340
S 0.4406 0.8811 0.6680
S 0.2563 0.5125 0.4021
S 0.0093 0.0187 0.5090
S 0.1722 0.3443 0.7378
S 0.5594 0.1189 0.1680

***

Record 4
The following is a SCAN calculation of a crystal of AgBiPbS3 relaxed with PBEsol, from Alexandria.

Computed properties:
ρ, g/cm3: 7.573
Crystal system: orthorhombic
Fermi-level density of states, states/eV/f.u.: 0.181
Formation energy without anion corrections, meV per atom: -307.5
Volume, Å³/f.u.: 136.00

abc: 4.0172 5.6855 6.8973
angles: 114.34 106.93 90.01
Atoms (fractional coordinates):
S 0.3407 0.8406 0.6811
S 0.6540 0.1540 0.3080
S 0.0110 0.5109 0.0218
Bi 0.6695 0.6695 0.3389
Ag 0.9943 0.9943 0.9886
Pb 0.3307 0.3309 0.6616

***

Record 5
The following is a SCAN calculation of a crystal of AgBiTe3Pb relaxed with PBEsol, from Alexandria.

Computed properties:
ρ, g/cm3: 8.421
Crystal system: orthorhombic
Fermi-level density of states, states/eV/f.u.: 1.325
Formation energy without anion corrections, meV per atom: -171.2
Volume, Å³/f.u.: 178.83

abc: 4.3931 6.2294 7.5644
angles: 114.31 106.87 90.01
Atoms (fractional coordinates):
Ag 0.9983 0.9981 0.9969
Te 0.0060 0.5061 0.0119
Te 0.3468 0.8471 0.6940
Te 0.6492 0.1493 0.2983
Bi 0.6736 0.6734 0.3471
Pb 0.3260 0.3259 0.6518

***

Record 6
The following is a SCAN calculation of a crystal of AgBi3Pd relaxed with PBEsol, from Alexandria.

Computed properties:
ρ, g/cm3: 9.386
Crystal system: cubic
Fermi-level density of states, states/eV/f.u.: 3.720
Volume, Å³/f.u.: 148.83
Energy relative to the elements, meV/atom: 484

abc: 5.2994 5.2994 5.2994
angles: 90.00 90.00 90.00
Atoms (fractional coordinates):
Bi 0.0000 0.0000 0.5000
Bi 0.0000 0.5000 0.0000
Bi 0.5000 0.0000 0.0000
Pd 0.0000 0.0000 0.0000
Ag 0.5000 0.5000 0.5000

***

no.,spin magnetization (μB/atom)
1,0.00
2,0.00
3,0.00
4,0.00
5,0.00
6,0.00